No. 1
# TbUOs2 PBE-GGA optimized geometry
data_TbUOs2
_chemical_formula_sum 'Tb1 U1 Os2'
_symmetry_space_group_name_H-M 'P 1'
_symmetry_Int_Tables_number 1
_cell_length_a 3.3394
_cell_length_b 4.8597
_cell_length_c 4.8597
_cell_angle_alpha 90.00
_cell_angle_beta 90.00
_cell_angle_gamma 90.00
loop_
_symmetry_equiv_pos_as_xyz
'x,y,z'
loop_
_atom_site_label
_atom_site_type_symbol
_atom_site_fract_x
_atom_site_fract_y
_atom_site_fract_z
Os1 Os 0.0000 0.0000 0.5000
Os2 Os 0.0000 0.5000 0.0000
Tb1 Tb 0.5000 0.5000 0.5000
U1 U 0.5000 0.0000 0.0000
# - V (A^3/atom) = 19.72
# - ΔH_f (0 K) (eV per atom) = -0.047
# - total magnetic moment (μB/atom) = 0.39
# - energy (eV/atom) = -9.64

No. 2
# TbUOs2 PBE-GGA optimized geometry
data_TbUOs2
_chemical_formula_sum 'Tb4 U4 Os8'
_symmetry_space_group_name_H-M 'P 1'
_symmetry_Int_Tables_number 1
_cell_length_a 6.6651
_cell_length_b 5.7314
_cell_length_c 8.6541
_cell_angle_alpha 90.00
_cell_angle_beta 90.16
_cell_angle_gamma 90.00
loop_
_symmetry_equiv_pos_as_xyz
'x,y,z'
loop_
_atom_site_label
_atom_site_type_symbol
_atom_site_fract_x
_atom_site_fract_y
_atom_site_fract_z
Tb1 Tb 0.1761 0.3519 0.1216
Tb2 Tb 0.3239 0.8519 0.8784
Tb3 Tb 0.6761 0.1481 0.1216
Tb4 Tb 0.8239 0.6481 0.8784
U1 U 0.6753 0.1626 0.6277
U2 U 0.1753 0.3374 0.6277
U3 U 0.3247 0.8374 0.3723
U4 U 0.8247 0.6626 0.3723
Os1 Os 0.5483 0.6560 0.1541
Os2 Os 0.0483 0.8440 0.1541
Os3 Os 0.9439 0.1893 0.3954
Os4 Os 0.9517 0.1560 0.8459
Os5 Os 0.0561 0.8107 0.6046
Os6 Os 0.5561 0.6893 0.6046
Os7 Os 0.4517 0.3440 0.8459
Os8 Os 0.4439 0.3107 0.3954
# - V (A^3/atom) = 20.66
# - ΔH_f (0 K) (eV per atom) = -0.128
# - total magnetic moment (μB/atom) = 0.00
# - energy (eV/atom) = -9.72

No. 3
# TbUOs PBE-GGA optimized geometry
data_TbUOs
_chemical_formula_sum 'Tb1 U1 Os1'
_symmetry_space_group_name_H-M 'P 1'
_symmetry_Int_Tables_number 1
_cell_length_a 6.0494
_cell_length_b 3.8918
_cell_length_c 3.8918
_cell_angle_alpha 120.00
_cell_angle_beta 90.00
_cell_angle_gamma 90.00
loop_
_symmetry_equiv_pos_as_xyz
'x,y,z'
loop_
_atom_site_label
_atom_site_type_symbol
_atom_site_fract_x
_atom_site_fract_y
_atom_site_fract_z
Os1 Os 0.3108 0.3333 0.6667
Tb1 Tb 0.6049 0.6667 0.3333
U1 U 0.0843 0.0000 0.0000
# - V (A^3/atom) = 26.45
# - ΔH_f (0 K) (eV per atom) = 0.223
# - total magnetic moment (μB/atom) = 0.74
# - energy (eV/atom) = -8.83
# - polymorph energy (0 for the lowest one) (meV/atom) = 326

No. 4
# TbUOs PBE-GGA optimized geometry
data_TbUOs
_chemical_formula_sum 'Tb1 U1 Os1'
_symmetry_space_group_name_H-M 'P 1'
_symmetry_Int_Tables_number 1
_cell_length_a 3.5083
_cell_length_b 3.5083
_cell_length_c 5.9458
_cell_angle_alpha 107.16
_cell_angle_beta 107.16
_cell_angle_gamma 90.00
loop_
_symmetry_equiv_pos_as_xyz
'x,y,z'
loop_
_atom_site_label
_atom_site_type_symbol
_atom_site_fract_x
_atom_site_fract_y
_atom_site_fract_z
Os1 Os 0.3044 0.3044 0.6089
Tb1 Tb 0.9973 0.9973 0.9946
U1 U 0.6982 0.6982 0.3965
# - V (A^3/atom) = 22.17
# - ΔH_f (0 K) (eV per atom) = -0.003
# - total magnetic moment (μB/atom) = 0.27
# - energy (eV/atom) = -9.05
# - polymorph energy (0 for the lowest one) (meV/atom) = 99

No. 5
# TbUOs2 PBE-GGA optimized geometry
data_TbUOs2
_chemical_formula_sum 'Tb1 U1 Os2'
_symmetry_space_group_name_H-M 'P 1'
_symmetry_Int_Tables_number 1
_cell_length_a 4.8228
_cell_length_b 4.8228
_cell_length_c 4.8228
_cell_angle_alpha 60.00
_cell_angle_beta 60.00
_cell_angle_gamma 60.00
loop_
_symmetry_equiv_pos_as_xyz
'x,y,z'
loop_
_atom_site_label
_atom_site_type_symbol
_atom_site_fract_x
_atom_site_fract_y
_atom_site_fract_z
Os1 Os 0.2500 0.2500 0.2500
Os2 Os 0.7500 0.7500 0.7500
Tb1 Tb 0.0000 0.0000 0.0000
U1 U 0.5000 0.5000 0.5000
# - V (A^3/atom) = 19.83
# - ΔH_f (0 K) (eV per atom) = -0.017
# - total magnetic moment (μB/atom) = 0.37
# - energy (eV/atom) = -9.61

No. 6
# TbUOs2 PBE-GGA optimized geometry
data_TbUOs2
_chemical_formula_sum 'Tb1 U1 Os2'
_symmetry_space_group_name_H-M 'P 1'
_symmetry_Int_Tables_number 1
_cell_length_a 3.4411
_cell_length_b 3.4411
_cell_length_c 6.7682
_cell_angle_alpha 90.00
_cell_angle_beta 90.00
_cell_angle_gamma 90.00
loop_
_symmetry_equiv_pos_as_xyz
'x,y,z'
loop_
_atom_site_label
_atom_site_type_symbol
_atom_site_fract_x
_atom_site_fract_y
_atom_site_fract_z
Os1 Os 0.0000 0.0000 0.7831
Os2 Os 0.0000 0.0000 0.2169
Tb1 Tb 0.5000 0.5000 0.5000
U1 U 0.5000 0.5000 0.0000
# - V (A^3/atom) = 20.04
# - ΔH_f (0 K) (eV per atom) = -0.132
# - total magnetic moment (μB/atom) = 0.00
# - energy (eV/atom) = -9.73

No. 7
# Tb2VOs PBE-GGA optimized geometry
data_Tb2VOs
_chemical_formula_sum 'Tb2 V1 Os1'
_symmetry_space_group_name_H-M 'P 1'
_symmetry_Int_Tables_number 1
_cell_length_a 3.2344
_cell_length_b 3.2344
_cell_length_c 10.2610
_cell_angle_alpha 80.93
_cell_angle_beta 80.93
_cell_angle_gamma 60.00
loop_
_symmetry_equiv_pos_as_xyz
'x,y,z'
loop_
_atom_site_label
_atom_site_type_symbol
_atom_site_fract_x
_atom_site_fract_y
_atom_site_fract_z
Tb1 Tb 0.0958 0.0958 0.7126
Tb2 Tb 0.9042 0.9042 0.2874
Os1 Os 0.5000 0.5000 0.5000
V1 V 0.0000 0.0000 0.0000
# - V (A^3/atom) = 22.85
# - ΔH_f (0 K) (eV per atom) = 0.690
# - total magnetic moment (μB/atom) = 0.62
# - energy (eV/atom) = -6.71

No. 8
# TbVOs PBE-GGA optimized geometry
data_TbVOs
_chemical_formula_sum 'Tb2 V2 Os2'
_symmetry_space_group_name_H-M 'P 1'
_symmetry_Int_Tables_number 1
_cell_length_a 5.3357
_cell_length_b 5.3148
_cell_length_c 5.3148
_cell_angle_alpha 63.34
_cell_angle_beta 59.87
_cell_angle_gamma 59.87
loop_
_symmetry_equiv_pos_as_xyz
'x,y,z'
loop_
_atom_site_label
_atom_site_type_symbol
_atom_site_fract_x
_atom_site_fract_y
_atom_site_fract_z
Tb1 Tb 0.8703 0.3797 0.3797
Tb2 Tb 0.1297 0.6203 0.6203
V1 V 0.0000 0.0000 0.0000
V2 V 0.5000 0.0000 0.0000
Os1 Os 0.5000 0.5000 0.0000
Os2 Os 0.5000 0.0000 0.5000
# - V (A^3/atom) = 18.13
# - ΔH_f (0 K) (eV per atom) = -0.202
# - total magnetic moment (μB/atom) = 0.00
# - energy (eV/atom) = -8.53
# - polymorph energy (0 for the lowest one) (meV/atom) = 0